Here is a geometry-optimized CaHPb structure from the Alexandria database. Energies are from PBE.

total energy: -3.431 eV/atom
magnetization: 0.000 μB/atom
ρ: 6.07 g cm⁻³
excess energy over the best structure of this formula in the dataset: 59 meV/atom

a = 10.218 Å, b = 10.218 Å, c = 3.704 Å
α = 100.39°, β = 100.39°, γ = 20.92°
Positions (direct):
Ca (0.185, 0.185, 0.185)
Ca (0.815, 0.815, 0.815)
H (0.250, 0.250, 0.750)
H (0.750, 0.750, 0.250)
Pb (0.425, 0.425, 0.422)
Pb (0.575, 0.575, 0.578)



Here is a geometry-optimized Er5Si3 structure from the Alexandria database. Energies are from PBE.

total energy: -5.588 eV/atom
magnetization: 0.000 μB/atom
ρ: 8.05 g cm⁻³
excess energy over the best structure of this formula in the dataset: 0 meV/atom

a = 8.358 Å, b = 8.358 Å, c = 6.282 Å
α = 90.00°, β = 90.00°, γ = 120.00°
Positions (direct):
Er (0.000, 0.243, 0.250)
Er (0.000, 0.757, 0.750)
Er (0.243, 0.000, 0.250)
Er (0.243, 0.243, 0.750)
Er (0.333, 0.667, 0.000)
Er (0.333, 0.667, 0.500)
Er (0.667, 0.333, 0.000)
Er (0.667, 0.333, 0.500)
Er (0.757, 0.000, 0.750)
Er (0.757, 0.757, 0.250)
Si (0.000, 0.395, 0.750)
Si (0.000, 0.605, 0.250)
Si (0.395, 0.000, 0.750)
Si (0.395, 0.395, 0.250)
Si (0.605, 0.000, 0.250)
Si (0.605, 0.605, 0.750)



Here is a geometry-optimized Ac2Mg4ZnHg3 structure from the Alexandria database. Energies are from PBE.

total energy: -1.978 eV/atom
magnetization: 0.000 μB/atom
ρ: 7.69 g cm⁻³

a = 4.865 Å, b = 4.865 Å, c = 11.113 Å
α = 90.00°, β = 90.00°, γ = 90.00°
Positions (direct):
Ac (0.000, 0.500, 0.236)
Ac (0.500, 0.000, 0.764)
Mg (0.000, 0.000, 0.500)
Mg (0.000, 0.500, 0.880)
Mg (0.500, 0.000, 0.120)
Mg (0.500, 0.500, 0.500)
Zn (0.500, 0.500, 0.000)
Hg (0.000, 0.000, 0.000)
Hg (0.000, 0.500, 0.636)
Hg (0.500, 0.000, 0.364)



Here is a geometry-optimized RbLi2Hg2Cl7 structure from the Alexandria database. Energies are from PBE.

total energy: -2.691 eV/atom
magnetization: 0.011 μB/atom
ρ: 2.53 g cm⁻³

a = 11.813 Å, b = 11.813 Å, c = 11.813 Å
α = 35.26°, β = 35.26°, γ = 35.26°
Positions (direct):
Rb (0.000, 0.000, 0.000)
Li (0.433, 0.433, 0.433)
Li (0.567, 0.567, 0.567)
Hg (0.264, 0.264, 0.264)
Hg (0.736, 0.736, 0.736)
Cl (0.089, 0.408, 0.698)
Cl (0.302, 0.592, 0.911)
Cl (0.408, 0.698, 0.089)
Cl (0.500, 0.500, 0.500)
Cl (0.592, 0.911, 0.302)
Cl (0.698, 0.089, 0.408)
Cl (0.911, 0.302, 0.592)



Here is a geometry-optimized TmThCo2 structure from the Alexandria database. Energies are from PBE.

total energy: -6.712 eV/atom
magnetization: 0.000 μB/atom
ρ: 11.21 g cm⁻³
excess energy over the best structure of this formula in the dataset: 104 meV/atom

a = 4.763 Å, b = 4.763 Å, c = 3.388 Å
α = 90.00°, β = 90.00°, γ = 90.00°
Positions (direct):
Tm (0.000, 0.000, 0.000)
Th (0.500, 0.500, 0.000)
Co (0.000, 0.500, 0.500)
Co (0.500, 0.000, 0.500)



Here is a geometry-optimized SrBe2Co structure from the Alexandria database. Energies are from PBE.

total energy: -3.297 eV/atom
magnetization: 0.000 μB/atom
ρ: 4.42 g cm⁻³
excess energy over the best structure of this formula in the dataset: 711 meV/atom

a = 4.696 Å, b = 4.696 Å, c = 4.696 Å
α = 128.36°, β = 128.36°, γ = 76.04°
Positions (direct):
Sr (0.000, 0.000, 0.000)
Be (0.250, 0.750, 0.500)
Be (0.750, 0.250, 0.500)
Co (0.500, 0.500, 0.000)



Here is a geometry-optimized Ba2TlCd4Sn3 structure from the Alexandria database. Energies are from PBE.

total energy: -2.571 eV/atom
magnetization: 0.000 μB/atom
ρ: 7.03 g cm⁻³

a = 4.963 Å, b = 4.963 Å, c = 12.315 Å
α = 90.00°, β = 90.00°, γ = 90.00°
Positions (direct):
Ba (0.000, 0.500, 0.244)
Ba (0.500, 0.000, 0.756)
Tl (0.000, 0.000, 0.500)
Cd (0.000, 0.000, 0.000)
Cd (0.000, 0.500, 0.636)
Cd (0.500, 0.000, 0.364)
Cd (0.500, 0.500, 0.000)
Sn (0.000, 0.500, 0.867)
Sn (0.500, 0.000, 0.133)
Sn (0.500, 0.500, 0.500)



Here is a geometry-optimized CrGa2Cl6 structure from the Alexandria database. Energies are from PBE.

total energy: -3.941 eV/atom
magnetization: 0.444 μB/atom
ρ: 2.06 g cm⁻³
excess energy over the best structure of this formula in the dataset: 0 meV/atom

a = 6.702 Å, b = 9.963 Å, c = 10.002 Å
α = 82.36°, β = 82.49°, γ = 82.44°
Positions (direct):
Cr (0.250, 0.001, 0.499)
Cr (0.750, 0.999, 0.501)
Ga (0.225, 0.499, 0.166)
Ga (0.275, 0.334, 0.001)
Ga (0.725, 0.666, 0.999)
Ga (0.775, 0.501, 0.834)
Cl (0.043, 0.886, 0.393)
Cl (0.124, 0.413, 0.799)
Cl (0.201, 0.129, 0.057)
Cl (0.299, 0.441, 0.370)
Cl (0.376, 0.701, 0.088)
Cl (0.457, 0.106, 0.615)
Cl (0.543, 0.894, 0.385)
Cl (0.624, 0.299, 0.912)
Cl (0.701, 0.559, 0.630)
Cl (0.799, 0.871, 0.943)
Cl (0.876, 0.587, 0.201)
Cl (0.957, 0.114, 0.607)



Here is a geometry-optimized NaCrBr4 structure from the Alexandria database. Energies are from PBE.

total energy: -3.932 eV/atom
magnetization: 0.500 μB/atom
ρ: 3.55 g cm⁻³
excess energy over the best structure of this formula in the dataset: 0 meV/atom

a = 6.935 Å, b = 6.935 Å, c = 7.347 Å
α = 99.69°, β = 99.69°, γ = 32.00°
Positions (direct):
Na (0.000, 0.000, 0.000)
Cr (0.500, 0.500, 0.500)
Br (0.109, 0.109, 0.404)
Br (0.389, 0.389, 0.188)
Br (0.611, 0.611, 0.812)
Br (0.891, 0.891, 0.596)



Here is a geometry-optimized Pm5Pu2Ir4 structure from the Alexandria database. Energies are from PBE.

total energy: -8.217 eV/atom
magnetization: 1.012 μB/atom
ρ: 10.52 g cm⁻³

a = 12.229 Å, b = 12.229 Å, c = 6.909 Å
α = 91.09°, β = 91.09°, γ = 17.62°
Positions (direct):
Pm (0.000, 0.000, 0.000)
Pm (0.270, 0.270, 0.284)
Pm (0.366, 0.366, 0.832)
Pm (0.634, 0.634, 0.168)
Pm (0.730, 0.730, 0.716)
Pu (0.414, 0.414, 0.362)
Pu (0.586, 0.586, 0.638)
Ir (0.166, 0.166, 0.480)
Ir (0.475, 0.475, 0.694)
Ir (0.525, 0.525, 0.306)
Ir (0.834, 0.834, 0.520)



Here is a geometry-optimized Ho2Tm structure from the Alexandria database. Energies are from PBE.

total energy: -4.282 eV/atom
magnetization: 0.000 μB/atom
ρ: 8.62 g cm⁻³
excess energy over the best structure of this formula in the dataset: 238 meV/atom

a = 6.478 Å, b = 6.478 Å, c = 6.478 Å
α = 60.00°, β = 60.00°, γ = 60.00°
Positions (direct):
Ho (0.000, 0.000, 0.000)
Ho (0.000, 0.000, 0.500)
Ho (0.000, 0.500, 0.000)
Ho (0.500, 0.000, 0.000)
Tm (0.375, 0.375, 0.375)
Tm (0.625, 0.625, 0.625)



Here is a geometry-optimized VTcHIr2 structure from the Alexandria database. Energies are from PBE.

total energy: -8.312 eV/atom
magnetization: 0.000 μB/atom
ρ: 15.05 g cm⁻³
excess energy over the best structure of this formula in the dataset: 0 meV/atom

a = 3.859 Å, b = 3.859 Å, c = 3.959 Å
α = 90.00°, β = 90.00°, γ = 90.00°
Positions (direct):
V (0.000, 0.000, 0.000)
Tc (0.500, 0.500, 0.000)
H (0.000, 0.000, 0.500)
Ir (0.000, 0.500, 0.500)
Ir (0.500, 0.000, 0.500)